The following is a GGA-PBE calculation of a relaxed structure of Zr4Zn7Cd, from the Alexandria database.

Its density of states at the Fermi level is 0.72 states/eV per atom. The formation energy is -1.99 eV per formula unit. As for the size of the total moment: 0.000 μB per atom. The value obtained for the calculated volume is 18.113 Å³ per atom.

The space group is P-1 (No. 2) and the conventional cell measures 5.6183, 5.6655 and 7.9181 Å, with angles of 78.71, 76.45 and 63.11 degrees. The distinct sites, in fractional coordinates, are Zr at (0.0313, 0.1356, 0.2896), Zr at (0.3322, 0.2433, 0.8818), Zn at (0.0047, 0.3422, 0.6295), Zn at (0.1761, 0.7643, 0.0420), Zn at (0.4593, 0.3090, 0.2114), Zn at (0.5000, 0.0000, 0.5000) and Cd at (0.5000, 0.5000, 0.5000).